[1]
First-principles (PBE) data for a relaxed Ba2SnH crystal, as listed in the Alexandria database.

Values from the calculation:
Symmetry: Fm-3m
Crystal system: cubic
Volume, Å³ per cell: 138.4
Final energy, eV per cell: -12.2
Magnetization, μB/cell: 0.01

a = 5.8067 Å, b = 5.8067 Å, c = 5.8067 Å
α = 60.00°, β = 60.00°, γ = 60.00°
Fractional positions:
Ba  0.7500  0.7500  0.7500
Ba  0.2500  0.2500  0.2500
Sn  0.5000  0.5000  0.5000
H  0.0000  0.0000  0.0000

[2]
First-principles (PBE) data for a relaxed YMg2Mo crystal, as listed in the Alexandria database.

Values from the calculation:
Symmetry: Fm-3m
Crystal system: cubic
Volume, Å³ per cell: 85.1
ΔH_f (0 K), eV per atom: 0.3771
Final energy, eV per cell: -19.0
Magnetization, μB/cell: 1.05

a = 4.9363 Å, b = 4.9363 Å, c = 4.9363 Å
α = 60.00°, β = 60.00°, γ = 60.00°
Site moments in Bohr magnetons follow the coordinates.
Fractional positions:
Mg  0.7500  0.7500  0.7500  -0.02
Mg  0.2500  0.2500  0.2500  -0.02
Y  0.0000  0.0000  0.0000  -0.16
Mo  0.5000  0.5000  0.5000  1.26

[3]
First-principles (PBE) data for a relaxed TmNbOs crystal, as listed in the Alexandria database.

Values from the calculation:
Symmetry: Amm2
Crystal system: orthorhombic
Volume, Å³ per cell: 236.3
ΔH_f (0 K), eV per atom: -0.2516
Final energy, eV per cell: -106.1
Magnetization, μB/cell: 0.00

a = 5.5229 Å, b = 5.5229 Å, c = 8.8583 Å
α = 90.00°, β = 90.00°, γ = 119.00°
Fractional positions:
Tm  0.3342  0.6658  0.1743
Tm  0.6677  0.3323  0.3009
Tm  0.3342  0.6658  0.8257
Tm  0.6677  0.3323  0.6991
Nb  0.0039  0.9961  0.7678
Nb  0.0039  0.9961  0.2322
Nb  0.6576  0.8340  0.5000
Nb  0.1660  0.3424  0.5000
Os  0.3454  0.1711  0.0000
Os  0.1672  0.8328  0.5000
Os  0.8234  0.1766  0.0000
Os  0.8289  0.6546  0.0000

[4]
First-principles (PBE) data for a relaxed Ca3Tl3Pd2 crystal, as listed in the Alexandria database.

Values from the calculation:
Symmetry: Pnma
Crystal system: orthorhombic
Volume, Å³ per cell: 833.6
ΔH_f (0 K), eV per atom: -0.4906
Final energy, eV per cell: -109.7
Magnetization, μB/cell: 0.00

a = 5.9329 Å, b = 8.1137 Å, c = 17.3166 Å
α = 90.00°, β = 90.00°, γ = 90.00°
Fractional positions:
Ca  0.6121  0.0389  0.6087
Ca  0.1121  0.4611  0.3913
Ca  0.8879  0.5389  0.6087
Ca  0.6559  0.3348  0.2500
Ca  0.3879  0.9611  0.1087
Ca  0.3441  0.6652  0.7500
Ca  0.6121  0.0389  0.8913
Ca  0.8441  0.8348  0.2500
Ca  0.3879  0.9611  0.3913
Ca  0.8879  0.5389  0.8913
Ca  0.1559  0.1652  0.7500
Ca  0.1121  0.4611  0.1087
Pd  0.6045  0.6101  0.1197
Pd  0.1045  0.8899  0.8803
Pd  0.3955  0.3899  0.6197
Pd  0.1045  0.8899  0.6197
Pd  0.8955  0.1101  0.3803
Pd  0.8955  0.1101  0.1197
Pd  0.3955  0.3899  0.8803
Pd  0.6045  0.6101  0.3803
Tl  0.1035  0.1854  0.9632
Tl  0.3965  0.6854  0.5368
Tl  0.3364  0.6692  0.2500
Tl  0.6035  0.3146  0.0368
Tl  0.8965  0.8146  0.0368
Tl  0.1636  0.1692  0.2500
Tl  0.8364  0.8308  0.7500
Tl  0.6035  0.3146  0.4632
Tl  0.3965  0.6854  0.9632
Tl  0.8965  0.8146  0.4632
Tl  0.1035  0.1854  0.5368
Tl  0.6636  0.3308  0.7500

Q: The highest final energy belongs to which entry?
A: Ba2SnH